Record 1
Entry from Alexandria: an optimized crystal structure of Na3TiCl (PBE).

The energy above the most stable polymorph in this dataset is 0.00 eV per formula unit. Its total energy is -2.65 eV/atom. The crystal system is cubic. The calculation puts the formation energy from raw total energies at 0.0871 eV per atom.

Cell lengths 5.383, 5.383, 5.383 Å; angles 90.00, 90.00, 90.00 degrees
Space group Pm-3m (No. 221)
Unique sites:
Na  0.000  0.000  0.500
Ti  0.500  0.500  0.500
Cl  0.000  0.000  0.000



Record 2
Entry from Alexandria: an optimized crystal structure of NaTi2Cl8 (PBE).

The energy above the most stable polymorph in this dataset is 0.00 eV per formula unit. Its total energy is -4.48 eV/atom. The crystal system is monoclinic. The calculation puts the formation energy from raw total energies at -1.5786 eV per atom.

Cell lengths 13.280, 9.245, 6.673 Å; angles 90.00, 97.93, 90.00 degrees
Space group C2/m (No. 12)
Unique sites:
Na  0.000  0.000  0.000
Ti  0.194  0.000  0.659
Cl  0.115  0.191  0.774
Cl  0.144  0.500  0.220
Cl  0.171  0.000  0.320



Record 3
Entry from Alexandria: an optimized crystal structure of Na2TiCl5 (PBE).

The energy above the most stable polymorph in this dataset is 0.00 eV per formula unit. Its total energy is -4.12 eV/atom. The crystal system is orthorhombic. The calculation puts the formation energy from raw total energies at -1.6510 eV per atom.

Cell lengths 4.883, 14.079, 13.201 Å; angles 90.00, 90.00, 90.00 degrees
Space group Cmcm (No. 63)
Unique sites:
Na  0.000  0.144  0.057
Ti  0.000  0.165  0.750
Cl  0.000  0.045  0.623
Cl  0.000  0.287  0.614
Cl  0.000  0.325  0.250



Record 4
Entry from Alexandria: an optimized crystal structure of NaTiCl4 (PBE).

Its total energy is -4.41 eV/atom. The crystal system is monoclinic. The calculation puts the formation energy from raw total energies at -1.6425 eV per atom.

Cell lengths 7.756, 15.091, 6.157 Å; angles 90.00, 109.71, 90.00 degrees
Space group C2/c (No. 15)
Unique sites:
Na  0.000  0.224  0.250
Ti  0.000  0.055  0.750
Cl  0.190  0.060  0.164
Cl  0.197  0.167  0.689



Record 5
Entry from Alexandria: an optimized crystal structure of Na3Ti2Cl8 (PBE).

Its total energy is -4.25 eV/atom. The crystal system is monoclinic. The calculation puts the formation energy from raw total energies at -1.5993 eV per atom.

Cell lengths 13.460, 7.491, 6.790 Å; angles 90.00, 105.04, 90.00 degrees
Space group C2/m (No. 12)
Unique sites:
Na  0.000  0.000  0.000
Na  0.000  0.257  0.500
Ti  0.249  0.500  0.495
Cl  0.128  0.000  0.722
Cl  0.134  0.500  0.712
Cl  0.149  0.244  0.282



Record 6
Entry from Alexandria: an optimized crystal structure of Na2TiCl4 (PBE).

The energy above the most stable polymorph in this dataset is 0.00 eV per formula unit. Its total energy is -4.15 eV/atom. The crystal system is orthorhombic. The calculation puts the formation energy from raw total energies at -1.5909 eV per atom.

Cell lengths 6.998, 12.284, 3.736 Å; angles 90.00, 90.00, 90.00 degrees
Space group Pbam (No. 55)
Unique sites:
Na  0.087  0.180  0.000
Ti  0.000  0.500  0.500
Cl  0.116  0.696  0.500
Cl  0.241  0.460  0.000



Record 7
Entry from Alexandria: an optimized crystal structure of NaTiCl3 (PBE).

The energy above the most stable polymorph in this dataset is 0.69 eV per formula unit. Its total energy is -4.36 eV/atom. The crystal system is orthorhombic. The calculation puts the formation energy from raw total energies at -1.4117 eV per atom.

Cell lengths 4.869, 17.324, 6.434 Å; angles 90.00, 90.00, 90.00 degrees
Space group Ama2 (No. 40)
Unique sites:
Na  0.250  0.163  0.000
Ti  0.250  0.427  0.966
Cl  0.250  0.066  0.373
Cl  0.250  0.301  0.797
Cl  0.250  0.405  0.333



Record 8
Entry from Alexandria: an optimized crystal structure of NaTiCl3 (PBE).

The energy above the most stable polymorph in this dataset is 0.78 eV per formula unit. Its total energy is -4.35 eV/atom. The crystal system is cubic. The calculation puts the formation energy from raw total energies at -1.3946 eV per atom.

Cell lengths 4.982, 4.982, 4.982 Å; angles 90.00, 90.00, 90.00 degrees
Space group Pm-3m (No. 221)
Unique sites:
Na  0.000  0.000  0.000
Ti  0.500  0.500  0.500
Cl  0.000  0.500  0.500



Question: Among the records above, which one has the lowest formation energy from raw total energies?
Answer: Na2TiCl5